# 1
Here is a geometry-optimized BaSiOF2 structure from Alexandria. Energies are from PBE.

offset from the most stable computed form	1086	meV/atom
raw total energy	-21.9	eV/cell
ΔE_f (raw)	-1.17	eV/atom

a = 4.929 Å, b = 4.929 Å, c = 5.044 Å
α = 90.00°, β = 90.00°, γ = 90.00°
Space group P4/mmm (No. 123)
One atom of each set of equivalent atoms:
1 Ba 0.000 0.000 0.000
2 Si 0.500 0.500 0.500
3 O 0.000 0.000 0.500
4 F 0.000 0.500 0.000

***

# 2
Here is a geometry-optimized BaSiO2F structure from Alexandria. Energies are from PBE.

raw total energy	-30.7	eV/cell
ΔE_f (raw)	-2.30	eV/atom

a = 3.899 Å, b = 3.899 Å, c = 4.479 Å
α = 90.00°, β = 90.00°, γ = 90.00°
Space group P4/mmm (No. 123)
One atom of each set of equivalent atoms:
1 Ba 0.000 0.000 0.000
2 Si 0.500 0.500 0.500
3 O 0.000 0.500 0.500
4 F 0.500 0.500 0.000

***

# 3
Here is a geometry-optimized BaSiO2F structure from Alexandria. Energies are from PBE.

raw total energy	-21.6	eV/cell
ΔE_f (raw)	-0.50	eV/atom

a = 4.885 Å, b = 4.885 Å, c = 4.823 Å
α = 90.00°, β = 90.00°, γ = 90.00°
Space group P4/mmm (No. 123)
One atom of each set of equivalent atoms:
1 Ba 0.000 0.000 0.000
2 Si 0.500 0.500 0.500
3 O 0.000 0.500 0.000
4 F 0.000 0.000 0.500

***

# 4
Here is a geometry-optimized BaSiOF2 structure from Alexandria. Energies are from PBE.

offset from the most stable computed form	0	meV/atom
raw total energy	-27.3	eV/cell
ΔE_f (raw)	-2.25	eV/atom

a = 4.555 Å, b = 4.555 Å, c = 3.886 Å
α = 90.00°, β = 90.00°, γ = 90.00°
Space group P4/mmm (No. 123)
One atom of each set of equivalent atoms:
1 Ba 0.000 0.000 0.000
2 Si 0.500 0.500 0.500
3 O 0.500 0.500 0.000
4 F 0.000 0.500 0.500